First-principles (PBE) data for MnCrPb2 after structural relaxation, as listed in the Alexandria database.

Cell: 3.7989 4.2827 5.6844 Å, 90.00 109.35 90.00°
With the nearest neighbours (Å) after each atom.
Element x y z (fractional)
1 Mn 0.0000 0.0000 0.0000  2 Cr 2.53
2 Cr 0.8747 0.5000 0.7488  2 Mn 2.53
3 Pb 0.2817 0.0000 0.5621  3 Mn 3.01-3.02, 4 Cr 3.03
4 Pb 0.5903 0.5000 0.1810  3 Cr 2.99-3.05, 4 Mn 3.02

Energy above the lowest structure with this stoichiometry (kJ/mol of atoms): 16.1
DFT formation energy (eV per formula unit): 1.9